Record 1
DFT (PBE) results for crystalline Li13Cd2 at its relaxed geometry.

## Properties
* space-group type: R-3m (166)
* size of the total moment: 0.0000 μB/atom
* energy relative to the lowest polymorph listed for this composition: 0.1330 eV/atom
* crystal system: trigonal
* formation energy from the elements: 1.9 eV/f.u.

```
15
Lattice="3.927 2.267 6.777 -3.927 2.267 6.777 0.000 -4.535 6.777" Properties=species:S:1:pos:R:3 pbc="T T T"
Li 0.000 0.000 0.000
Li 0.000 -2.860 4.545
Li -2.477 1.430 4.545
Li 0.000 -1.691 7.323
Li -1.465 0.846 7.323
Li -2.477 -1.430 15.787
Li -1.465 -0.846 13.010
Li 1.465 0.846 7.323
Li 2.477 1.430 4.545
Li 1.465 -0.846 13.010
Li 0.000 1.691 13.010
Li 2.477 -1.430 15.787
Li 0.000 2.860 15.787
Cd 0.000 0.000 4.889
Cd 0.000 0.000 15.444
```

Record 2
DFT (PBE) results for crystalline LiPd5Au2 at its relaxed geometry.

## Properties
* space-group type: Pbam (55)
* size of the total moment: 0.0000 μB/atom
* energy relative to the lowest polymorph listed for this composition: 0.0332 eV/atom
* crystal system: orthorhombic
* formation energy from the elements: -1.5 eV/f.u.

```
16
Lattice="5.640 0.000 0.000 0.000 11.309 0.000 0.000 0.000 3.942" Properties=species:S:1:pos:R:3 pbc="T T T"
Li 0.000 0.000 0.000
Li 2.820 5.654 0.000
Pd 0.000 5.654 0.000
Pd 0.079 2.812 0.000
Pd 1.349 7.088 1.971
Pd 1.472 1.433 1.971
Pd 2.741 8.466 0.000
Pd 2.820 0.000 0.000
Pd 2.899 2.843 0.000
Pd 4.169 9.875 1.971
Pd 4.292 4.221 1.971
Pd 5.561 8.497 0.000
Au 1.322 9.949 1.971
Au 1.498 4.295 1.971
Au 4.142 7.014 1.971
Au 4.318 1.359 1.971
```

Record 3
DFT (PBE) results for crystalline MnWSe4 at its relaxed geometry.

## Properties
* E_form (uncorrected): 753.8 kJ/mol of formula units
* space-group type: F-43m (216)
* size of the total moment: 0.1898 μB/atom
* crystal system: cubic

```
6
Lattice="0.000 3.944 3.944 3.944 0.000 3.944 3.944 3.944 0.000" Properties=species:S:1:pos:R:3 pbc="T T T"
Mn 0.000 0.000 0.000
W 1.972 1.972 1.972
Se 4.929 2.960 2.960
Se 2.960 4.929 2.960
Se 2.960 2.960 4.929
Se 4.929 4.929 4.929
```

Theoretical density per entry: 1.4, 12.3, 7.5 g/cm3